No. 1
! CaMg30AlO32, relaxed, DFT GGA-PBEsol; values from VASP
&SYSTEM
  ibrav = 0, nat = 64, ntyp = 4
/
ATOMIC_SPECIES
O 16.00 O.upf
Mg 24.30 Mg.upf
Al 26.98 Al.upf
Ca 40.08 Ca.upf
CELL_PARAMETERS angstrom
8.505 0.000 0.000
0.000 8.505 0.000
0.000 0.000 8.508
ATOMIC_POSITIONS crystal
O 0.764 0.500 0.000
O 0.236 0.500 0.000
O 0.000 0.000 0.765
O 0.000 0.767 0.000
O 0.753 0.000 0.500
O 0.000 0.247 0.500
O 0.250 0.250 0.249
O 0.500 0.753 0.500
O 0.500 0.000 0.750
O 0.750 0.250 0.249
O 0.500 0.500 0.738
O 0.000 0.000 0.235
O 0.500 0.764 0.000
O 0.753 0.500 0.500
O 0.247 0.500 0.500
O 0.000 0.500 0.250
O 0.250 0.250 0.751
O 0.000 0.753 0.500
O 0.500 0.500 0.262
O 0.500 0.000 0.250
O 0.750 0.750 0.751
O 0.500 0.236 0.000
O 0.750 0.250 0.751
O 0.767 0.000 0.000
O 0.500 0.247 0.500
O 0.000 0.233 0.000
O 0.247 0.000 0.500
O 0.000 0.500 0.750
O 0.750 0.750 0.249
O 0.250 0.750 0.249
O 0.233 0.000 0.000
O 0.250 0.750 0.751
Mg 0.500 0.248 0.253
Mg 0.500 0.752 0.747
Mg 0.750 0.000 0.251
Mg 0.000 0.750 0.251
Mg 0.752 0.248 0.000
Mg 0.752 0.500 0.253
Mg 0.500 0.500 0.500
Mg 0.250 0.750 0.500
Mg 0.000 0.250 0.251
Mg 0.752 0.500 0.747
Mg 0.500 0.000 0.000
Mg 0.500 0.000 0.500
Mg 0.250 0.250 0.500
Mg 0.500 0.248 0.747
Mg 0.248 0.500 0.747
Mg 0.000 0.500 0.000
Mg 0.248 0.500 0.253
Mg 0.752 0.752 0.000
Mg 0.750 0.000 0.749
Mg 0.750 0.250 0.500
Mg 0.000 0.500 0.500
Mg 0.000 0.250 0.749
Mg 0.000 0.750 0.749
Mg 0.000 0.000 0.500
Mg 0.248 0.752 0.000
Mg 0.250 0.000 0.749
Mg 0.750 0.750 0.500
Mg 0.248 0.248 0.000
Mg 0.500 0.752 0.253
Mg 0.250 0.000 0.251
Al 0.000 0.000 0.000
Ca 0.500 0.500 0.000
! * raw formation energy: -2.71 eV per atom
! * symmetry: No. 123
! * final energy: -6.232 eV per atom

***

No. 2
! ZnNi2Br, relaxed, DFT GGA-PBEsol; values from VASP
&SYSTEM
  ibrav = 0, nat = 4, ntyp = 3
/
ATOMIC_SPECIES
Zn 65.41 Zn.upf
Ni 58.69 Ni.upf
Br 79.90 Br.upf
CELL_PARAMETERS angstrom
-0.488 -1.401 -2.539
3.650 -1.186 -1.750
0.139 -5.796 1.468
ATOMIC_POSITIONS crystal
Zn 0.500 0.500 0.500
Ni 0.153 0.036 0.659
Ni 0.847 0.964 0.341
Br 0.500 0.000 0.000
! * energy relative to the lowest polymorph listed for this composition: 0.00 eV per formula unit
! * raw formation energy: 0.12 eV per atom
! * symmetry: No. 12
! * final energy: -3.819 eV per atom

***

No. 3
! MgIn2S4, relaxed, DFT GGA-PBEsol; values from VASP
&SYSTEM
  ibrav = 0, nat = 14, ntyp = 3
/
ATOMIC_SPECIES
S 32.06 S.upf
In 114.82 In.upf
Mg 24.30 Mg.upf
CELL_PARAMETERS angstrom
-2.007 -6.250 -3.541
6.338 -0.585 3.888
-5.422 1.610 4.862
ATOMIC_POSITIONS crystal
S 0.904 0.637 0.731
S 0.905 0.173 0.269
S 0.423 0.655 0.769
S 0.363 0.095 0.268
S 0.345 0.113 0.768
S 0.887 0.654 0.231
S 0.346 0.577 0.232
S 0.827 0.096 0.732
In 0.735 0.875 0.360
In 0.515 0.375 0.640
In 0.625 0.265 0.140
In 0.125 0.485 0.860
Mg 0.000 0.000 0.000
Mg 0.250 0.750 0.500
! * raw formation energy: -0.78 eV per atom
! * symmetry: No. 122
! * final energy: -4.380 eV per atom

***

No. 4
! Sr2SO, relaxed, DFT GGA-PBEsol; values from VASP
&SYSTEM
  ibrav = 0, nat = 8, ntyp = 3
/
ATOMIC_SPECIES
O 16.00 O.upf
Sr 87.62 Sr.upf
S 32.06 S.upf
CELL_PARAMETERS angstrom
-4.121 -1.047 4.692
6.062 -0.928 1.576
0.293 6.021 -1.940
ATOMIC_POSITIONS crystal
O 0.000 0.500 0.500
O 0.500 0.250 0.750
Sr 0.058 0.183 0.625
Sr 0.942 0.567 0.125
Sr 0.558 0.375 0.433
Sr 0.442 0.875 0.817
S 0.000 0.000 0.000
S 0.500 0.750 0.250
! * energy relative to the lowest polymorph listed for this composition: 0.00 eV per formula unit
! * raw formation energy: -2.28 eV per atom
! * symmetry: No. 122
! * final energy: -5.612 eV per atom

***

No. 5
! MnCo2Ru, relaxed, DFT GGA-PBEsol; values from VASP
&SYSTEM
  ibrav = 0, nat = 4, ntyp = 3
/
ATOMIC_SPECIES
Mn 54.94 Mn.upf
Co 58.93 Co.upf
Ru 101.07 Ru.upf
CELL_PARAMETERS angstrom
-1.933 0.259 1.956
1.119 -2.111 1.386
3.559 3.861 3.006
ATOMIC_POSITIONS crystal
Mn 0.000 0.000 0.487
Co 0.500 0.500 0.251
Co 0.000 0.000 0.021
Ru 0.500 0.500 0.741
! * energy relative to the lowest polymorph listed for this composition: 0.29 eV per formula unit
! * DFT formation energy: 0.18 eV/atom
! * symmetry: No. 99
! * final energy: -8.669 eV per atom

***

No. 6
! ScTlS2, relaxed, DFT GGA-PBEsol; values from VASP
&SYSTEM
  ibrav = 0, nat = 8, ntyp = 3
/
ATOMIC_SPECIES
Tl 204.38 Tl.upf
S 32.06 S.upf
Sc 44.96 Sc.upf
CELL_PARAMETERS angstrom
-2.719 2.539 -0.109
-0.317 -2.972 2.218
6.509 7.438 10.894
ATOMIC_POSITIONS crystal
Tl 0.667 0.333 0.750
Tl 0.333 0.667 0.250
S 0.333 0.667 0.596
S 0.333 0.667 0.904
S 0.667 0.333 0.096
S 0.667 0.333 0.404
Sc 0.000 0.000 0.000
Sc 0.000 0.000 0.500
! * raw formation energy: -1.39 eV per atom
! * symmetry: No. 194
! * final energy: -5.895 eV per atom

***

> The highest final energy belongs to which entry?

ZnNi2Br

***

> Which formula does entry 2 have?

ZnNi2Br

***

> Which value of final energy does entry 1 give?

-6.232 eV per atom

***

What did the second record say?
! ZnNi2Br, relaxed, DFT GGA-PBEsol; values from VASP
&SYSTEM
  ibrav = 0, nat = 4, ntyp = 3
/
ATOMIC_SPECIES
Zn 65.41 Zn.upf
Ni 58.69 Ni.upf
Br 79.90 Br.upf
CELL_PARAMETERS angstrom
-0.488 -1.401 -2.539
3.650 -1.186 -1.750
0.139 -5.796 1.468
ATOMIC_POSITIONS crystal
Zn 0.500 0.500 0.500
Ni 0.153 0.036 0.659
Ni 0.847 0.964 0.341
Br 0.500 0.000 0.000
! * energy relative to the lowest polymorph listed for this composition: 0.00 eV per formula unit
! * raw formation energy: 0.12 eV per atom
! * symmetry: No. 12
! * final energy: -3.819 eV per atom